Hf2Si2Pd | PBE | relaxed

Structure (CIF):
```
data_Hf2Si2Pd
_cell_length_a 4.252
_cell_length_b 4.252
_cell_length_c 10.887
_cell_angle_alpha 90.00
_cell_angle_beta 90.00
_cell_angle_gamma 90.00
_space_group_name_H-M_alt 'I 4/m m m'
_space_group_IT_number 139
_space_group_name_Hall '-I 4 2'
loop_
_atom_site_label
_atom_site_fract_x
_atom_site_fract_y
_atom_site_fract_z
Hf1 0.000 0.500 0.250
Si1 0.000 0.000 0.102
Pd1 0.000 0.000 0.500
```



B2AsAu2 | PBE | relaxed

Structure (CIF):
```
data_B2AsAu2
_cell_length_a 3.360
_cell_length_b 3.360
_cell_length_c 12.769
_cell_angle_alpha 90.00
_cell_angle_beta 90.00
_cell_angle_gamma 90.00
_space_group_name_H-M_alt 'I 4/m m m'
_space_group_IT_number 139
_space_group_name_Hall '-I 4 2'
loop_
_atom_site_label
_atom_site_fract_x
_atom_site_fract_y
_atom_site_fract_z
B1 0.000 0.500 0.250
As1 0.000 0.000 0.000
Au1 0.000 0.000 0.366
```



SmErI2O2 | PBE | relaxed

Structure (CIF):
```
data_SmErI2O2
_cell_length_a 3.951
_cell_length_b 3.951
_cell_length_c 9.282
_cell_angle_alpha 90.00
_cell_angle_beta 90.00
_cell_angle_gamma 90.00
_space_group_name_H-M_alt 'P 4 m m'
_space_group_IT_number 99
loop_
_space_group_symop_operation_xyz
'x,y,z'
'-y,x,z'
'-x,-y,z'
'y,-x,z'
'-x,y,z'
'y,x,z'
'x,-y,z'
'-y,-x,z'
loop_
_atom_site_label
_atom_site_fract_x
_atom_site_fract_y
_atom_site_fract_z
Sm1 0.000 0.000 0.000
Er1 0.500 0.500 0.761
I1 0.000 0.000 0.556
I2 0.500 0.500 0.206
O1 0.000 0.500 0.873
```



PuIn2Pb | PBE | relaxed

Structure (CIF):
```
data_PuIn2Pb
_cell_length_a 4.644
_cell_length_b 4.644
_cell_length_c 4.862
_cell_angle_alpha 90.00
_cell_angle_beta 90.00
_cell_angle_gamma 90.00
_space_group_name_H-M_alt 'P 4/m m m'
_space_group_IT_number 123
_space_group_name_Hall '-P 4 2'
loop_
_atom_site_label
_atom_site_fract_x
_atom_site_fract_y
_atom_site_fract_z
Pu1 0.000 0.000 0.000
In1 0.000 0.500 0.500
Pb1 0.500 0.500 0.000
```



Number 1: E_tot -7.0965 eV/atom. Number 2: E_tot -4.1122 eV/atom. Number 3: E_tot -6.4159 eV/atom. Number 4: E_tot -6.0813 eV/atom.